BaBiAu3: optimized geometry, PBE.

a b c (Å): 6.874 6.388 12.487
angles (deg): 87.53 90.00 90.00
Positions (direct):
Au (0.500, 0.270, 0.632)
Au (0.785, 0.500, 0.500)
Au (0.285, 0.500, 0.000)
Au (0.500, 0.730, 0.368)
Au (0.715, 0.500, 0.000)
Au (0.500, 0.247, 0.848)
Au (0.000, 0.730, 0.868)
Au (0.000, 0.270, 0.132)
Au (0.000, 0.247, 0.348)
Au (0.215, 0.500, 0.500)
Au (0.500, 0.753, 0.152)
Au (0.000, 0.753, 0.652)
Bi (0.251, 0.000, 0.000)
Bi (0.751, 0.000, 0.500)
Bi (0.749, 0.000, 0.000)
Bi (0.249, 0.000, 0.500)
Ba (0.500, 0.747, 0.751)
Ba (0.000, 0.747, 0.251)
Ba (0.000, 0.253, 0.749)
Ba (0.500, 0.253, 0.249)

* energy relative to the elements: -0.4657 eV/atom
* ρ: 11.363 Mg/m³
* distance to the lowest polymorph of the same formula: 0.0 meV/atom


Ba2Bi2Au: optimized geometry, PBE.

a b c (Å): 4.900 6.922 12.287
angles (deg): 78.87 78.50 69.27
Positions (direct):
Bi (0.663, 0.808, 0.865)
Bi (0.938, 0.705, 0.419)
Bi (0.337, 0.192, 0.135)
Bi (0.062, 0.295, 0.581)
Ba (0.927, 0.251, 0.896)
Ba (0.311, 0.730, 0.649)
Ba (0.073, 0.749, 0.104)
Ba (0.689, 0.270, 0.351)
Au (0.423, 0.846, 0.308)
Au (0.577, 0.154, 0.692)

* energy relative to the elements: -0.7721 eV/atom
* ρ: 7.805 Mg/m³
* distance to the lowest polymorph of the same formula: 0.0 meV/atom


Ba2BiAu2: optimized geometry, PBE.

a b c (Å): 9.000 9.000 4.098
angles (deg): 90.00 90.00 90.00
Positions (direct):
Ba (0.181, 0.681, 0.500)
Ba (0.319, 0.181, 0.500)
Ba (0.819, 0.319, 0.500)
Ba (0.681, 0.819, 0.500)
Bi (0.500, 0.500, 0.000)
Bi (0.000, 0.000, 0.000)
Au (0.887, 0.613, 0.000)
Au (0.113, 0.387, 0.000)
Au (0.613, 0.113, 0.000)
Au (0.387, 0.887, 0.000)

* energy relative to the elements: -0.7247 eV/atom
* ρ: 8.779 Mg/m³
* distance to the lowest polymorph of the same formula: 35.3 meV/atom


BaBi3Au: optimized geometry, PBE.

a b c (Å): 4.741 4.981 14.806
angles (deg): 99.68 90.00 90.00
Positions (direct):
Bi (0.500, 0.441, 0.883)
Bi (0.000, 0.282, 0.564)
Bi (0.500, 0.559, 0.117)
Bi (0.000, 0.718, 0.436)
Bi (0.000, 0.058, 0.117)
Bi (0.000, 0.942, 0.883)
Ba (0.500, 0.167, 0.333)
Ba (0.500, 0.833, 0.667)
Au (0.000, 0.379, 0.758)
Au (0.000, 0.621, 0.242)

* energy relative to the elements: -0.3905 eV/atom
* ρ: 9.261 Mg/m³
* distance to the lowest polymorph of the same formula: 14.4 meV/atom


BaBiAu4: optimized geometry, PBE.

a b c (Å): 4.393 6.374 6.374
angles (deg): 90.15 69.85 69.85
Positions (direct):
Ba (0.000, 0.000, 0.000)
Au (0.796, 0.866, 0.542)
Au (0.204, 0.458, 0.134)
Au (0.204, 0.134, 0.458)
Au (0.796, 0.542, 0.866)
Bi (0.500, 0.500, 0.500)

* energy relative to the elements: -0.3552 eV/atom
* ρ: 12.089 Mg/m³
* distance to the lowest polymorph of the same formula: 18.0 meV/atom


BaBi2Au6: optimized geometry, PBE.

a b c (Å): 4.415 8.230 8.230
angles (deg): 55.02 74.44 74.44
Positions (direct):
Bi (0.138, 0.362, 0.362)
Bi (0.862, 0.638, 0.638)
Ba (0.000, 0.000, 0.000)
Au (0.685, 0.012, 0.618)
Au (0.500, 0.684, 0.316)
Au (0.500, 0.316, 0.684)
Au (0.315, 0.382, 0.988)
Au (0.315, 0.988, 0.382)
Au (0.685, 0.618, 0.012)

* energy relative to the elements: -0.2237 eV/atom
* ρ: 12.351 Mg/m³


BaBiAu3: optimized geometry, PBE.

a b c (Å): 5.917 5.917 5.917
angles (deg): 90.00 90.00 90.00
Each line ends with the local moment (μB).
Positions (direct):
Au (0.500, 0.000, 0.000)  0.01
Au (0.000, 0.000, 0.500)  0.03
Au (0.000, 0.500, 0.000)  0.02
Ba (0.000, 0.000, 0.000)  0.00
Bi (0.500, 0.500, 0.500)  0.85

* energy relative to the elements: 0.7087 eV/atom
* ρ: 7.511 Mg/m³
* distance to the lowest polymorph of the same formula: 1174.4 meV/atom


Ba8Bi5Au: optimized geometry, PBE.

a b c (Å): 9.271 9.271 9.271
angles (deg): 109.44 109.53 109.44
Positions (direct):
Bi (0.369, 0.120, 0.992)
Bi (0.872, 0.880, 0.249)
Bi (0.751, 0.623, 0.631)
Bi (0.500, 0.000, 0.500)
Bi (0.008, 0.377, 0.128)
Ba (0.977, 0.103, 0.730)
Ba (0.626, 0.897, 0.874)
Ba (0.753, 0.244, 0.364)
Ba (0.126, 0.753, 0.023)
Ba (0.491, 0.611, 0.247)
Ba (0.120, 0.756, 0.509)
Ba (0.636, 0.389, 0.880)
Ba (0.270, 0.247, 0.374)
Au (0.250, 0.500, 0.750)

* energy relative to the elements: -0.9152 eV/atom
* ρ: 6.336 Mg/m³


BaBi3Au: optimized geometry, PBE.

a b c (Å): 6.922 7.109 6.896
angles (deg): 90.00 89.99 90.00
Positions (direct):
Bi (0.838, 0.075, 0.701)
Bi (0.972, 0.462, 0.950)
Bi (0.472, 0.891, 0.952)
Bi (0.972, 0.462, 0.452)
Bi (0.472, 0.891, 0.449)
Bi (0.338, 0.278, 0.201)
Au (0.628, 0.570, 0.201)
Au (0.127, 0.782, 0.701)
Ba (0.468, 0.420, 0.701)
Ba (0.968, 0.932, 0.201)

* energy relative to the elements: -0.4049 eV/atom
* ρ: 9.408 Mg/m³
* distance to the lowest polymorph of the same formula: 0.0 meV/atom


BaBi2Au: optimized geometry, PBE.

a b c (Å): 5.611 5.611 5.611
angles (deg): 60.00 60.00 60.00
Positions (direct):
Au (0.500, 0.500, 0.500)
Bi (0.250, 0.250, 0.250)
Bi (0.750, 0.750, 0.750)
Ba (0.000, 0.000, 0.000)

* energy relative to the elements: -0.1668 eV/atom
* ρ: 9.999 Mg/m³


Ba2Bi5Au3: optimized geometry, PBE.

a b c (Å): 7.097 10.454 10.454
angles (deg): 99.76 70.11 70.11
Positions (direct):
Ba (0.769, 0.114, 0.348)
Ba (0.269, 0.348, 0.114)
Ba (0.231, 0.886, 0.652)
Ba (0.731, 0.652, 0.886)
Bi (0.893, 0.230, 0.986)
Bi (0.250, 0.500, 0.500)
Bi (0.750, 0.284, 0.716)
Bi (0.607, 0.014, 0.770)
Bi (0.107, 0.770, 0.014)
Bi (0.250, 0.283, 0.717)
Bi (0.750, 0.717, 0.283)
Bi (0.250, 0.716, 0.284)
Bi (0.393, 0.986, 0.230)
Bi (0.750, 0.500, 0.500)
Au (0.851, 0.752, 0.545)
Au (0.750, 0.001, 0.999)
Au (0.351, 0.545, 0.752)
Au (0.649, 0.455, 0.248)
Au (0.250, 0.999, 0.001)
Au (0.149, 0.248, 0.455)

* energy relative to the elements: -0.4475 eV/atom
* ρ: 9.773 Mg/m³
* distance to the lowest polymorph of the same formula: 0.0 meV/atom


Ba2Bi2Au: optimized geometry, PBE.

a b c (Å): 10.348 10.348 3.728
angles (deg): 90.00 90.00 90.00
Positions (direct):
Au (0.500, 0.500, 0.000)
Au (0.000, 0.000, 0.000)
Ba (0.145, 0.355, 0.000)
Ba (0.355, 0.855, 0.000)
Ba (0.645, 0.145, 0.000)
Ba (0.855, 0.645, 0.000)
Bi (0.156, 0.656, 0.500)
Bi (0.656, 0.844, 0.500)
Bi (0.344, 0.156, 0.500)
Bi (0.844, 0.344, 0.500)

* energy relative to the elements: -0.2462 eV/atom
* ρ: 7.400 Mg/m³
* distance to the lowest polymorph of the same formula: 525.9 meV/atom


Among the records above, which one has the highest energy relative to the elements? number 7


Which of these has the lowest energy relative to the elements? Ba8Bi5Au


energy relative to the elements of number 6 (BaBi2Au6)? -0.2237 eV/atom